Run one
{"formula": "CeSm4Tm", "functional": "PBE-GGA", "state": "relaxed", "lattice": [[10.7876, 0.0000, 0.0000], [0.0000, 6.1255, 0.9688], [0.0000, 1.1227, 6.1079]], "species": ["Sm", "Tm", "Sm", "Sm", "Ce", "Tm", "Sm", "Sm", "Ce", "Sm", "Sm", "Sm"], "fractional_positions": [[0.1656, 0.4994, 0.0005], [0.5000, 0.0000, 0.5000], [0.6656, 0.5006, 0.4995], [0.3344, 0.4994, 0.5005], [0.5000, 0.5000, 0.0000], [0.0000, 0.0000, 0.0000], [0.8344, 0.5006, 0.9995], [0.3363, 0.9996, 0.0007], [0.0000, 0.5000, 0.5000], [0.8363, 0.0004, 0.4993], [0.1637, 0.9996, 0.5007], [0.6637, 0.0004, 0.9993]], "space_group": "C2/m"}


Run two
{"formula": "CeSm4Tm", "functional": "PBE-GGA", "state": "relaxed", "lattice": [[6.6806, 0.0000, 0.0000], [0.0000, 11.6644, 0.0000], [-3.3403, -5.8322, 5.0910]], "species": ["Tm", "Ce", "Sm", "Sm", "Sm", "Tm", "Sm", "Sm", "Sm", "Sm", "Sm", "Ce"], "fractional_positions": [[0.5000, 0.0000, 0.5000], [0.5000, 0.0000, 0.0000], [0.1653, 0.1595, 0.3306], [0.8289, 0.3283, 0.1567], [0.8347, 0.8405, 0.6694], [0.0000, 0.0000, 0.5000], [0.1653, 0.6711, 0.3306], [0.3278, 0.3283, 0.1567], [0.1711, 0.6717, 0.8433], [0.6722, 0.6717, 0.8433], [0.8347, 0.3289, 0.6694], [0.5000, 0.5000, 0.0000]], "space_group": "Imma"}


In kJ/mol of atoms, relative to the most stable structure: run one 0.0; run two 19.7.


Run one
{"formula": "CeSmY2", "functional": "PBE-GGA", "state": "relaxed", "lattice": [[3.5783, 0.0000, 0.0000], [1.7891, 3.0989, 0.0000], [1.7891, 1.0330, 11.5537]], "species": ["Sm", "Ce", "Y", "Y"], "fractional_positions": [[0.5005, 0.5005, 0.4985], [0.6664, 0.6664, 0.0008], [0.2516, 0.2516, 0.2452], [0.0815, 0.0815, 0.7555]], "space_group": "R3m"}


Run two
{"formula": "CeSmY2", "functional": "PBE-GGA", "state": "relaxed", "lattice": [[-5.3204, 2.0075, -0.5029], [-3.9580, -3.0613, -2.7482], [-4.2582, -2.4373, 2.9184]], "species": ["Y", "Ce", "Y", "Sm"], "fractional_positions": [[0.2500, 0.2500, 0.2500], [0.0000, 0.0000, 0.0000], [0.7500, 0.7500, 0.7500], [0.5000, 0.5000, 0.5000]], "space_group": "Fm-3m"}


In kJ/mol of atoms, relative to the most stable structure: run one 0.0; run two 10.7.


Run one
{"formula": "CeSmY2", "functional": "PBE-GGA", "state": "relaxed", "lattice": [[3.5617, 0.0000, 0.0000], [0.0000, 3.5617, 0.0000], [0.0000, 0.0000, 10.1157]], "species": ["Y", "Sm", "Y", "Ce"], "fractional_positions": [[0.0000, 0.0000, 0.2434], [0.5000, 0.5000, 0.5000], [0.0000, 0.0000, 0.7566], [0.5000, 0.5000, 0.0000]], "space_group": "P4/mmm"}


Run two
{"formula": "CeSmY2", "functional": "PBE-GGA", "state": "relaxed", "lattice": [[-2.6714, 1.8187, 3.8612], [-0.6669, -4.7015, 1.7532], [4.2386, 0.4187, 2.7352]], "species": ["Sm", "Y", "Y", "Ce"], "fractional_positions": [[0.5000, 0.0000, 0.0000], [0.0000, 0.0000, 0.5000], [0.0000, 0.5000, 0.0000], [0.5000, 0.5000, 0.5000]], "space_group": "P4/mmm"}


In kJ/mol of atoms, relative to the most stable structure: run one 0.0; run two 0.9.


Run one
{"formula": "Ce2SmY", "functional": "PBE-GGA", "state": "relaxed", "lattice": [[-2.1174, 2.1617, -4.8122], [-4.1730, -2.7169, -2.7417], [-5.2482, 2.1827, -0.0677]], "species": ["Sm", "Ce", "Ce", "Y"], "fractional_positions": [[0.5000, 0.5000, 0.5000], [0.2500, 0.2500, 0.2500], [0.7500, 0.7500, 0.7500], [0.0000, 0.0000, 0.0000]], "space_group": "Fm-3m"}


Run two
{"formula": "Ce2SmY", "functional": "PBE-GGA", "state": "relaxed", "lattice": [[5.1208, 0.0000, 0.0000], [0.0000, 4.9347, 0.0000], [0.0000, 0.0000, 4.9347]], "species": ["Ce", "Sm", "Ce", "Y"], "fractional_positions": [[0.0000, 0.0000, 0.5000], [0.5000, 0.5000, 0.5000], [0.0000, 0.5000, 0.0000], [0.5000, 0.0000, 0.0000]], "space_group": "P4/mmm"}


Run three
{"formula": "Ce2SmY", "functional": "PBE-GGA", "state": "relaxed", "lattice": [[-0.1726, -2.9616, 1.8786], [-1.6260, -2.8209, -1.3148], [9.4133, -5.5016, -4.5267]], "species": ["Y", "Ce", "Sm", "Ce"], "fractional_positions": [[0.5000, 0.5000, 0.5000], [0.7503, 0.7503, 0.7491], [0.0000, 0.0000, 0.0000], [0.2497, 0.2497, 0.2509]], "space_group": "R-3m"}


In kJ/mol of atoms, relative to the most stable structure: run one 14.8; run two 1.5; run three 0.0.


Run one
{"formula": "Ce2SmY", "functional": "PBE-GGA", "state": "relaxed", "lattice": [[3.4849, 0.0000, 0.0000], [0.0000, 3.4849, 0.0000], [0.0000, 0.0000, 10.2736]], "species": ["Ce", "Y", "Sm", "Ce"], "fractional_positions": [[0.0000, 0.0000, 0.2500], [0.5000, 0.5000, 0.5000], [0.5000, 0.5000, 0.0000], [0.0000, 0.0000, 0.7500]], "space_group": "P4/mmm"}


Run two
{"formula": "Ce2SmY", "functional": "PBE-GGA", "state": "relaxed", "lattice": [[-3.4714, -0.4395, 0.3403], [-1.3399, -3.2352, 0.3123], [-0.5566, -0.5422, 11.7830]], "species": ["Ce", "Y", "Sm", "Ce"], "fractional_positions": [[0.2502, 0.2502, 0.2493], [0.6679, 0.6679, 0.9964], [0.4988, 0.4988, 0.5037], [0.0832, 0.0832, 0.7505]], "space_group": "R3m"}


In kJ/mol of atoms, relative to the most stable structure: run one 1.2; run two 0.0.


Run one
{"formula": "CeSm7Y12", "functional": "PBE-GGA", "state": "relaxed", "lattice": [[-2.3598, -9.2218, -2.4680], [6.2809, -0.1365, 7.5652], [-8.1342, 4.8862, 2.5808]], "species": ["Y", "Sm", "Sm", "Y", "Sm", "Y", "Sm", "Sm", "Sm", "Ce", "Y", "Y", "Y", "Y", "Y", "Y", "Y", "Y", "Sm", "Y"], "fractional_positions": [[0.7485, 0.4963, 0.7479], [0.5000, 0.5000, 0.0000], [0.0000, 0.5000, 0.0000], [0.2515, 0.9994, 0.7479], [0.5000, 0.0000, 0.5000], [0.5037, 0.2521, 0.2515], [0.0000, 0.5000, 0.5000], [0.5000, 0.0000, 0.0000], [0.5000, 0.5000, 0.5000], [0.0000, 0.0000, 0.0000], [0.2521, 0.2515, 0.5037], [0.2515, 0.5037, 0.2521], [0.9994, 0.7479, 0.2515], [0.7479, 0.7485, 0.4963], [0.2521, 0.7485, 0.0006], [0.7485, 0.0006, 0.2521], [0.7479, 0.2515, 0.9994], [0.0006, 0.2521, 0.7485], [0.0000, 0.0000, 0.5000], [0.4963, 0.7479, 0.7485]], "space_group": "Im-3m"}


Run two
{"formula": "CeSm7Y12", "functional": "PBE-GGA", "state": "relaxed", "lattice": [[8.5540, 1.0410, 1.5625], [-1.3786, 8.5061, 1.5625], [-1.3786, -1.8343, 8.4516]], "species": ["Sm", "Y", "Y", "Ce", "Y", "Y", "Y", "Y", "Y", "Sm", "Sm", "Y", "Y", "Sm", "Y", "Y", "Sm", "Sm", "Sm", "Y"], "fractional_positions": [[0.0628, 0.9663, 0.6731], [0.3517, 0.4557, 0.1254], [0.7676, 0.3733, 0.2254], [0.0000, 0.0000, 0.0000], [0.6267, 0.7746, 0.2324], [0.2254, 0.7676, 0.3733], [0.4557, 0.1254, 0.3517], [0.5443, 0.8746, 0.6483], [0.3733, 0.2254, 0.7676], [0.6731, 0.0628, 0.9663], [0.9663, 0.6731, 0.0628], [0.8746, 0.6483, 0.5443], [0.7746, 0.2324, 0.6267], [0.0337, 0.3269, 0.9372], [0.6483, 0.5443, 0.8746], [0.1254, 0.3517, 0.4557], [0.9372, 0.0337, 0.3269], [0.5000, 0.5000, 0.5000], [0.3269, 0.9372, 0.0337], [0.2324, 0.6267, 0.7746]], "space_group": "R-3"}


In kJ/mol of atoms, relative to the most stable structure: run one 42.0; run two 0.0.


Run one
{"formula": "CeSm2Y", "functional": "PBE-GGA", "state": "relaxed", "lattice": [[3.5683, 0.0000, 0.0000], [0.0000, 3.5683, 0.0000], [0.0000, 0.0000, 10.1478]], "species": ["Sm", "Ce", "Y", "Sm"], "fractional_positions": [[0.0000, 0.0000, 0.7572], [0.5000, 0.5000, 0.0000], [0.5000, 0.5000, 0.5000], [0.0000, 0.0000, 0.2428]], "space_group": "P4/mmm"}


Run two
{"formula": "CeSm2Y", "functional": "PBE-GGA", "state": "relaxed", "lattice": [[-1.4462, 2.7112, 1.5968], [-1.4734, -0.4046, 3.1076], [9.9215, 3.3408, 7.0683]], "species": ["Sm", "Sm", "Y", "Ce"], "fractional_positions": [[0.0881, 0.0881, 0.7357], [0.9119, 0.9119, 0.2643], [0.5000, 0.5000, 0.5000], [0.0000, 0.0000, 0.0000]], "space_group": "R-3m"}


In kJ/mol of atoms, relative to the most stable structure: run one 0.0; run two 12.2.


Run one
{"formula": "CeSm2Y", "functional": "PBE-GGA", "state": "relaxed", "lattice": [[3.5841, 0.0000, 0.0000], [1.7921, 3.1040, 0.0000], [1.7921, 1.0347, 11.6763]], "species": ["Sm", "Y", "Ce", "Sm"], "fractional_positions": [[0.0836, 0.0836, 0.7491], [0.6666, 0.6666, 0.0003], [0.5003, 0.5003, 0.4990], [0.2495, 0.2495, 0.2515]], "space_group": "R3m"}


Run two
{"formula": "CeSm2Y", "functional": "PBE-GGA", "state": "relaxed", "lattice": [[5.7349, 0.0000, 0.0000], [2.8674, 4.9665, 0.0000], [2.8674, 1.6555, 4.6825]], "species": ["Sm", "Y", "Sm", "Ce"], "fractional_positions": [[0.2500, 0.2500, 0.2500], [0.0000, 0.0000, 0.0000], [0.7500, 0.7500, 0.7500], [0.5000, 0.5000, 0.5000]], "space_group": "Fm-3m"}


In kJ/mol of atoms, relative to the most stable structure: run one 0.0; run two 12.5.


Run one
{"formula": "CeSm2Y6", "functional": "PBE-GGA", "state": "relaxed", "lattice": [[6.0982, -2.1431, 2.2020], [0.1504, 12.8496, -3.8104], [0.7050, -4.3702, 8.9975]], "species": ["Ce", "Y", "Y", "Y", "Y", "Sm", "Y", "Y", "Y", "Sm", "Y", "Sm", "Y", "Ce", "Sm", "Y", "Y", "Y"], "fractional_positions": [[0.1573, 0.0819, 0.9604], [0.6440, 0.2506, 0.4021], [0.7339, 0.9566, 0.4727], [0.5872, 0.3164, 0.8427], [0.0839, 0.1875, 0.4042], [0.5447, 0.5983, 0.7021], [0.4128, 0.6836, 0.1573], [0.0299, 0.4529, 0.2636], [0.2661, 0.0434, 0.5273], [0.1524, 0.3756, 0.8211], [0.9161, 0.8125, 0.5958], [0.4553, 0.4017, 0.2979], [0.9701, 0.5471, 0.7364], [0.8427, 0.9181, 0.0396], [0.8476, 0.6244, 0.1789], [0.2685, 0.8727, 0.0702], [0.7315, 0.1273, 0.9298], [0.3560, 0.7494, 0.5979]], "space_group": "P-1"}


Run two
{"formula": "CeSm2Y6", "functional": "PBE-GGA", "state": "relaxed", "lattice": [[-2.2331, 1.3631, 6.8816], [-7.1730, -0.1863, 1.6474], [-2.6581, -5.7892, 4.2223]], "species": ["Y", "Y", "Sm", "Y", "Y", "Sm", "Ce", "Y", "Y"], "fractional_positions": [[0.2606, 0.2605, 0.7033], [0.6064, 0.0553, 0.2829], [0.7558, 0.7558, 0.7326], [0.2605, 0.7756, 0.7033], [0.0553, 0.0554, 0.2829], [0.5797, 0.5797, 0.2608], [0.3163, 0.3163, 0.0510], [0.7756, 0.2606, 0.7033], [0.0554, 0.6064, 0.2829]], "space_group": "R3m"}


In kJ/mol of atoms, relative to the most stable structure: run one 0.0; run two 22.2.


Run one
{"formula": "CeSm4Y2", "functional": "PBE-GGA", "state": "relaxed", "lattice": [[-3.4869, -0.9158, 0.2579], [1.5009, 0.5029, -3.2495], [5.1389, -19.7608, -0.6871]], "species": ["Sm", "Y", "Ce", "Y", "Sm", "Sm", "Sm"], "fractional_positions": [[0.0485, 0.0969, 0.9539], [0.7152, 0.4302, 0.0958], [0.7135, 0.4275, 0.6657], [0.7142, 0.4282, 0.3810], [0.3805, 0.7609, 0.5244], [0.0481, 0.0960, 0.2381], [0.3815, 0.7630, 0.8092]], "space_group": "Cm"}


Run two
{"formula": "CeSm4Y2", "functional": "PBE-GGA", "state": "relaxed", "lattice": [[3.3828, 0.0000, 0.0000], [0.0000, 3.4368, 0.0000], [0.0000, -1.7184, 20.1941]], "species": ["Ce", "Sm", "Sm", "Y", "Sm", "Y", "Sm"], "fractional_positions": [[0.0000, 0.5000, 0.0000], [0.5000, 0.6387, 0.2773], [0.0000, 0.9276, 0.8553], [0.5000, 0.7863, 0.5726], [0.5000, 0.3613, 0.7227], [0.5000, 0.2137, 0.4274], [0.0000, 0.0724, 0.1447]], "space_group": "Cmmm"}


In kJ/mol of atoms, relative to the most stable structure: run one 0.0; run two 26.5.


Run one
{"formula": "CeSm3Zn8", "functional": "PBE-GGA", "state": "relaxed", "lattice": [[-4.8721, -0.6196, 2.5279], [-1.7054, -5.0307, 1.5150], [1.8252, -0.8362, 9.3475]], "species": ["Sm", "Zn", "Zn", "Ce", "Zn", "Zn", "Sm", "Zn", "Zn", "Sm", "Zn", "Zn"], "fractional_positions": [[0.9983, 0.9983, 0.0051], [0.4357, 0.9382, 0.6880], [0.4375, 0.4375, 0.1867], [0.8747, 0.8747, 0.3759], [0.6874, 0.6874, 0.9379], [0.1874, 0.1874, 0.4379], [0.5015, 0.5015, 0.4954], [0.4375, 0.9383, 0.1867], [0.9382, 0.4357, 0.6880], [0.3755, 0.3755, 0.8735], [0.9382, 0.9382, 0.6880], [0.9383, 0.4375, 0.1867]], "space_group": "R3m"}


Run two
{"formula": "CeSm3Zn8", "functional": "PBE-GGA", "state": "relaxed", "lattice": [[5.6159, 0.0000, 0.0000], [-2.8079, 4.8635, 0.0000], [0.0000, 0.0000, 8.7291]], "species": ["Sm", "Sm", "Zn", "Zn", "Sm", "Zn", "Zn", "Zn", "Zn", "Zn", "Zn", "Ce"], "fractional_positions": [[0.6667, 0.3333, 0.0584], [0.0000, 0.0000, 0.9348], [0.5004, 0.4996, 0.7512], [0.1652, 0.3304, 0.2493], [0.6667, 0.3333, 0.4442], [0.3333, 0.6667, 0.5002], [0.9993, 0.4996, 0.7512], [0.1652, 0.8348, 0.2493], [0.5004, 0.0007, 0.7512], [0.6696, 0.8348, 0.2493], [0.3333, 0.6667, 0.0010], [0.0000, 0.0000, 0.5601]], "space_group": "P3m1"}


In kJ/mol of atoms, relative to the most stable structure: run one 0.0; run two 1.8.


Run one
{"formula": "Ce2SmZn", "functional": "PBE-GGA", "state": "relaxed", "lattice": [[-0.9368, 1.7754, 2.5921], [-2.0495, -1.2851, 2.2129], [8.5174, -4.0816, 7.9470]], "species": ["Ce", "Sm", "Zn", "Ce"], "fractional_positions": [[0.9151, 0.9151, 0.2546], [0.5000, 0.5000, 0.5000], [0.0000, 0.0000, 0.0000], [0.0849, 0.0849, 0.7454]], "space_group": "R-3m"}


Run two
{"formula": "Ce2SmZn", "functional": "PBE-GGA", "state": "relaxed", "lattice": [[3.7168, 0.0000, 0.0000], [0.0000, 3.7168, 0.0000], [0.0000, 0.0000, 8.0852]], "species": ["Ce", "Ce", "Sm", "Zn"], "fractional_positions": [[0.0000, 0.0000, 0.1974], [0.0000, 0.0000, 0.8026], [0.5000, 0.5000, 0.5000], [0.5000, 0.5000, 0.0000]], "space_group": "P4/mmm"}


In kJ/mol of atoms, relative to the most stable structure: run one 32.5; run two 0.0.